1.
Density functional theory data (PBE) for a relaxed Nd3AlOs3 crystal.

POSCAR file:
```
Nd3AlOs3
1.0
2.229 -5.407 0.000
2.229 5.407 0.000
0.000 0.000 13.367
Nd Al Os
6 2 6
direct
0.016 0.984 0.750
0.274 0.726 0.107
0.274 0.726 0.393
0.726 0.274 0.607
0.726 0.274 0.893
0.984 0.016 0.250
0.000 0.000 0.000
0.000 0.000 0.500
0.327 0.673 0.750
0.434 0.566 0.586
0.434 0.566 0.914
0.566 0.434 0.086
0.566 0.434 0.414
0.673 0.327 0.250
```

ρ = 10.6 g/cm³
Formation energy = -211 meV/atom
DOS at the Fermi energy = 5.63 states/eV/f.u.

2.
Density functional theory data (PBE) for a relaxed Ce3PuTh4P8 crystal.

POSCAR file:
```
Ce3PuTh4P8
1.0
4.116 2.376 6.699
-4.116 2.376 6.699
0.000 -4.752 6.699
Ce Pu Th P
3 1 4 8
direct
0.000 0.500 0.500
0.500 0.000 0.500
0.500 0.500 0.000
0.000 0.000 0.000
0.000 0.000 0.500
0.000 0.500 0.000
0.500 0.000 0.000
0.500 0.500 0.500
0.248 0.248 0.750
0.248 0.750 0.248
0.250 0.752 0.752
0.251 0.251 0.251
0.749 0.749 0.749
0.750 0.248 0.248
0.752 0.250 0.752
0.752 0.752 0.250
```

ρ = 7.8 g/cm³
Formation energy = -1498 meV/atom
DOS at the Fermi energy = 24.76 states/eV/f.u.

3.
Density functional theory data (PBE) for a relaxed BeReN2O crystal.

POSCAR file:
```
BeReN2O
1.0
3.599 0.000 0.000
0.000 3.599 0.000
0.000 0.000 3.113
Be Re N O
1 1 2 1
direct
0.000 0.000 0.000
0.500 0.500 0.500
0.000 0.500 0.000
0.500 0.000 0.000
0.000 0.000 0.500
```

ρ = 9.8 g/cm³
DOS at the Fermi energy = 3.38 states/eV/f.u.

4.
Density functional theory data (PBE) for a relaxed LiCa2Be3Ge4 crystal.

POSCAR file:
```
LiCa2Be3Ge4
1.0
4.062 0.000 0.000
0.000 4.062 0.000
0.000 0.000 10.146
Li Ca Be Ge
1 2 3 4
direct
0.000 0.000 0.000
0.000 0.500 0.754
0.500 0.000 0.246
0.000 0.500 0.363
0.500 0.000 0.637
0.500 0.500 0.000
0.000 0.000 0.500
0.000 0.500 0.138
0.500 0.000 0.862
0.500 0.500 0.500
```

ρ = 4.0 g/cm³
Formation energy = -296 meV/atom
DOS at the Fermi energy = 2.34 states/eV/f.u.

Number 1: raw total energy -7.602 eV/atom. Number 2: raw total energy -8.067 eV/atom. Number 3: raw total energy -6.816 eV/atom. Number 4: raw total energy -3.853 eV/atom.